## La2AlIn (PBE)

Data for crystalline La2AlIn at its relaxed geometry.

Computed properties:
N(E_F): 3.119 states/eV per cell
Total magnetization: 0.0 μB per cell
Uncorrected energy: -0.310 Ry per atom

The structure in CIF format:
```
data_La2AlIn
_cell_length_a 3.605
_cell_length_b 4.752
_cell_length_c 6.692
_cell_angle_alpha 90.00
_cell_angle_beta 90.00
_cell_angle_gamma 90.00
_symmetry_space_group_name_H-M 'P m m 2'
_symmetry_Int_Tables_number 25
loop_
_symmetry_equiv_pos_as_xyz
'x,y,z'
'-x,-y,z'
'-x,y,z'
'x,-y,z'
loop_
_atom_site_label
_atom_site_fract_x
_atom_site_fract_y
_atom_site_fract_z
_atom_site_occupancy
La1 0.000 0.000 0.000 1
La2 0.500 0.500 0.261 1
Al1 0.000 0.000 0.497 1
In1 0.500 0.500 0.746 1
```